## CeSm3Hg4 (PBE)

Data for a relaxed CeSm3Hg4 crystal.

Values from the calculation:
Raw total energy: -74.04 eV per cell
DOS(E_F): 16.13 states/eV/f.u.
Total moment: 7.8 Bohr magnetons per cell

Unit cell a=5.3823 b=5.3823 c=26.3785 alpha=90.00 beta=90.00 gamma=120.00
With the nearest neighbours (Å) after each atom.
Space group R-3m (No. 166, hexagonal axes)
Symmetry-distinct sites (fractional):
Ce1 0.0000 0.0000 0.0000 (multiplicity 3)  8 Hg 3.31-3.32
Sm1 0.0000 0.0000 0.2506 (multiplicity 6)  8 Hg 3.28-3.31
Sm2 0.0000 0.0000 0.5000 (multiplicity 3)  8 Hg 3.27-3.29
Hg1 0.0000 0.0000 0.1259 (multiplicity 6)  7 Sm 3.29-3.31, 1 Ce 3.32
Hg2 0.0000 0.0000 0.3762 (multiplicity 6)  5 Sm 3.27-3.31, 3 Ce 3.31